(1)
## Cd3Cl4 (PBE)

Data for a geometry-optimized Cd3Cl4 structure.

The structure in CIF format:
```
data_Cd3Cl4
_space_group_name_H-M_alt 'P 1'
_space_group_IT_number 1
_space_group_name_Hall 'P 1'
_cell_length_a 6.195
_cell_length_b 6.195
_cell_length_c 4.998
_cell_angle_alpha 90.00
_cell_angle_beta 90.00
_cell_angle_gamma 120.00
loop_
_atom_site_label
_atom_site_type_symbol
_atom_site_fract_x
_atom_site_fract_y
_atom_site_fract_z
Cd1 Cd 0.000 0.500 0.000
Cl1 Cl 0.667 0.333 0.500
Cl2 Cl 0.000 0.000 0.252
Cl3 Cl 0.333 0.667 0.500
Cl4 Cl 0.000 0.000 0.748
Cd2 Cd 0.500 0.000 0.000
Cd3 Cd 0.500 0.500 0.000
```

Summary:
- V (Å³/f.u.) = 166.13
- distance to the lowest polymorph of the same formula (eV per atom) = 0.3362
- formation energy without anion corrections (eV/atom) = -0.280

=====

(2)
## Zr2BTe2 (PBE)

Data for a geometry-optimized Zr2BTe2 structure.

The structure in CIF format:
```
data_Zr2BTe2
_space_group_name_H-M_alt 'P 1'
_space_group_IT_number 1
_space_group_name_Hall 'P 1'
_cell_length_a 7.842
_cell_length_b 7.842
_cell_length_c 3.682
_cell_angle_alpha 90.00
_cell_angle_beta 90.00
_cell_angle_gamma 90.00
loop_
_atom_site_label
_atom_site_type_symbol
_atom_site_fract_x
_atom_site_fract_y
_atom_site_fract_z
Zr1 Zr 0.648 0.852 0.500
B1 B 0.000 0.000 0.000
Zr2 Zr 0.352 0.148 0.500
Te1 Te 0.149 0.351 0.000
Te2 Te 0.851 0.649 0.000
Te3 Te 0.649 0.149 0.000
B2 B 0.500 0.500 0.000
Te4 Te 0.351 0.851 0.000
Zr3 Zr 0.148 0.648 0.500
Zr4 Zr 0.852 0.352 0.500
```

Summary:
- V (Å³/f.u.) = 113.21
- distance to the lowest polymorph of the same formula (eV per atom) = 0.0000
- formation energy without anion corrections (eV/atom) = 0.327

=====

(3)
## Nd12Ho7Pb (PBE)

Data for a geometry-optimized Nd12Ho7Pb structure.

The structure in CIF format:
```
data_Nd12Ho7Pb
_space_group_name_H-M_alt 'P 1'
_space_group_IT_number 1
_space_group_name_Hall 'P 1'
_cell_length_a 10.044
_cell_length_b 10.044
_cell_length_c 10.044
_cell_angle_alpha 109.47
_cell_angle_beta 109.47
_cell_angle_gamma 109.47
loop_
_atom_site_label
_atom_site_type_symbol
_atom_site_fract_x
_atom_site_fract_y
_atom_site_fract_z
Nd1 Nd 0.440 0.220 0.220
Nd2 Nd 0.780 0.560 0.780
Ho1 Ho 0.500 0.500 0.000
Nd3 Nd 0.220 0.780 0.000
Nd4 Nd 0.780 0.780 0.560
Nd5 Nd 0.220 0.440 0.220
Ho2 Ho 0.500 0.000 0.500
Nd6 Nd 0.000 0.220 0.780
Ho3 Ho 0.000 0.000 0.500
Nd7 Nd 0.560 0.780 0.780
Nd8 Nd 0.780 0.000 0.220
Nd9 Nd 0.780 0.220 0.000
Ho4 Ho 0.000 0.500 0.000
Nd10 Nd 0.220 0.220 0.440
Ho5 Ho 0.500 0.000 0.000
Ho6 Ho 0.500 0.500 0.500
Pb1 Pb 0.000 0.000 0.000
Nd11 Nd 0.000 0.780 0.220
Nd12 Nd 0.220 0.000 0.780
Ho7 Ho 0.000 0.500 0.500
```

Summary:
- DFT formation energy (eV per formula unit) = 12.72
- V (Å³/f.u.) = 780.02

=====

(4)
## Hf2ReW (PBE)

Data for a geometry-optimized Hf2ReW structure.

The structure in CIF format:
```
data_Hf2ReW
_space_group_name_H-M_alt 'P 1'
_space_group_IT_number 1
_space_group_name_Hall 'P 1'
_cell_length_a 3.293
_cell_length_b 3.293
_cell_length_c 6.644
_cell_angle_alpha 90.00
_cell_angle_beta 90.00
_cell_angle_gamma 90.00
loop_
_atom_site_label
_atom_site_type_symbol
_atom_site_fract_x
_atom_site_fract_y
_atom_site_fract_z
Re1 Re 0.500 0.500 0.000
Hf1 Hf 0.000 0.000 0.243
W1 W 0.500 0.500 0.500
Hf2 Hf 0.000 0.000 0.757
```

Summary:
- DFT formation energy (eV per formula unit) = -0.27
- V (Å³/f.u.) = 72.06

=====

(5)
## Mn3Cu5Br12 (PBE)

Data for a geometry-optimized Mn3Cu5Br12 structure.

The structure in CIF format:
```
data_Mn3Cu5Br12
_space_group_name_H-M_alt 'P 1'
_space_group_IT_number 1
_space_group_name_Hall 'P 1'
_cell_length_a 13.672
_cell_length_b 13.672
_cell_length_c 13.672
_cell_angle_alpha 109.47
_cell_angle_beta 109.47
_cell_angle_gamma 109.47
loop_
_atom_site_label
_atom_site_type_symbol
_atom_site_fract_x
_atom_site_fract_y
_atom_site_fract_z
Br1 Br 0.408 0.036 0.323
Br2 Br 0.908 0.823 0.536
Mn1 Mn 0.875 0.750 0.125
Br3 Br 0.214 0.677 0.085
Mn2 Mn 0.875 0.125 0.250
Br4 Br 0.714 0.129 0.036
Mn3 Mn 0.250 0.125 0.375
Br5 Br 0.536 0.323 0.908
Br6 Br 0.129 0.714 0.536
Br7 Br 0.323 0.536 0.408
Br8 Br 0.464 0.786 0.871
Br9 Br 0.629 0.036 0.214
Cu1 Cu 0.875 0.250 0.625
Br10 Br 0.585 0.714 0.677
Br11 Br 0.823 0.915 0.286
Mn4 Mn 0.750 0.875 0.625
Br12 Br 0.964 0.592 0.177
Br13 Br 0.286 0.415 0.823
Cu2 Cu 0.750 0.125 0.875
Mn5 Mn 0.250 0.625 0.875
Cu3 Cu 0.000 0.500 0.000
Br14 Br 0.964 0.371 0.286
Br15 Br 0.092 0.915 0.129
Br16 Br 0.214 0.536 0.629
Cu4 Cu 0.625 0.750 0.875
Mn6 Mn 0.375 0.625 0.250
Cu5 Cu 0.875 0.625 0.750
Cu6 Cu 0.500 0.500 0.500
Br17 Br 0.177 0.085 0.714
Mn7 Mn 0.750 0.375 0.125
Br18 Br 0.036 0.629 0.714
Br19 Br 0.629 0.592 0.915
Br20 Br 0.085 0.908 0.371
Br21 Br 0.915 0.823 0.786
Br22 Br 0.786 0.464 0.371
Br23 Br 0.592 0.629 0.415
Mn8 Mn 0.125 0.875 0.750
Cu7 Cu 0.750 0.625 0.375
Br24 Br 0.415 0.129 0.592
Br25 Br 0.714 0.585 0.177
Cu8 Cu 0.250 0.375 0.625
Br26 Br 0.536 0.214 0.129
Br27 Br 0.677 0.464 0.592
Br28 Br 0.286 0.871 0.964
Cu9 Cu 0.375 0.250 0.125
Cu10 Cu 0.000 0.000 0.500
Br29 Br 0.464 0.677 0.092
Cu11 Cu 0.500 0.000 0.500
Br30 Br 0.786 0.323 0.915
Br31 Br 0.408 0.371 0.585
Br32 Br 0.908 0.085 0.871
Br33 Br 0.371 0.964 0.786
Br34 Br 0.371 0.408 0.085
Cu12 Cu 0.125 0.375 0.250
Br35 Br 0.177 0.092 0.964
Cu13 Cu 0.500 0.500 0.000
Br36 Br 0.323 0.786 0.415
Mn9 Mn 0.625 0.375 0.750
Cu14 Cu 0.375 0.125 0.750
Br37 Br 0.585 0.871 0.408
Cu15 Cu 0.250 0.875 0.125
Br38 Br 0.129 0.415 0.092
Br39 Br 0.415 0.286 0.323
Br40 Br 0.871 0.286 0.464
Mn10 Mn 0.125 0.250 0.875
Br41 Br 0.871 0.585 0.908
Cu16 Cu 0.500 0.000 0.000
Br42 Br 0.915 0.092 0.629
Br43 Br 0.036 0.408 0.823
Br44 Br 0.092 0.177 0.464
Cu17 Cu 0.625 0.875 0.250
Cu18 Cu 0.000 0.000 0.000
Mn11 Mn 0.375 0.750 0.625
Cu19 Cu 0.125 0.750 0.375
Br45 Br 0.677 0.214 0.585
Br46 Br 0.592 0.964 0.677
Br47 Br 0.085 0.177 0.214
Mn12 Mn 0.625 0.250 0.375
Br48 Br 0.823 0.908 0.036
Cu20 Cu 0.000 0.500 0.500
```

Summary:
- V (Å³/f.u.) = 491.84
- formation energy without anion corrections (eV/atom) = -0.320

=====

(6)
## NaInBr2F (PBE)

Data for a geometry-optimized NaInBr2F structure.

The structure in CIF format:
```
data_NaInBr2F
_space_group_name_H-M_alt 'P 1'
_space_group_IT_number 1
_space_group_name_Hall 'P 1'
_cell_length_a 5.746
_cell_length_b 5.746
_cell_length_c 4.447
_cell_angle_alpha 90.00
_cell_angle_beta 90.00
_cell_angle_gamma 90.00
loop_
_atom_site_label
_atom_site_type_symbol
_atom_site_fract_x
_atom_site_fract_y
_atom_site_fract_z
Br1 Br 0.500 0.000 0.000
In1 In 0.000 0.000 0.000
F1 F 0.000 0.000 0.500
Na1 Na 0.500 0.500 0.500
Br2 Br 0.000 0.500 0.000
```

Summary:
- V (Å³/f.u.) = 146.85
- formation energy without anion corrections (eV/atom) = -1.355

=====

(7)
## Er4SbP2 (PBE)

Data for a geometry-optimized Er4SbP2 structure.

The structure in CIF format:
```
data_Er4SbP2
_space_group_name_H-M_alt 'P 1'
_space_group_IT_number 1
_space_group_name_Hall 'P 1'
_cell_length_a 4.054
_cell_length_b 6.823
_cell_length_c 13.327
_cell_angle_alpha 90.00
_cell_angle_beta 90.00
_cell_angle_gamma 107.28
loop_
_atom_site_label
_atom_site_type_symbol
_atom_site_fract_x
_atom_site_fract_y
_atom_site_fract_z
P1 P 0.134 0.268 0.058
Er1 Er 0.064 0.128 0.250
Er2 Er 0.764 0.528 0.117
P2 P 0.134 0.268 0.442
Er3 Er 0.764 0.528 0.383
Er4 Er 0.500 0.000 0.000
Sb1 Sb 0.608 0.217 0.750
P3 P 0.866 0.732 0.942
Er5 Er 0.500 0.000 0.500
Sb2 Sb 0.392 0.783 0.250
Er6 Er 0.236 0.472 0.883
P4 P 0.866 0.732 0.558
Er7 Er 0.936 0.872 0.750
Er8 Er 0.236 0.472 0.617
```

Summary:
- V (Å³/f.u.) = 175.97
- formation energy without anion corrections (eV/atom) = -1.254

=====

(8)
## Ac2SnF (PBE)

Data for a geometry-optimized Ac2SnF structure.

The structure in CIF format:
```
data_Ac2SnF
_space_group_name_H-M_alt 'P 1'
_space_group_IT_number 1
_space_group_name_Hall 'P 1'
_cell_length_a 3.758
_cell_length_b 3.758
_cell_length_c 8.199
_cell_angle_alpha 90.00
_cell_angle_beta 90.00
_cell_angle_gamma 90.00
loop_
_atom_site_label
_atom_site_type_symbol
_atom_site_fract_x
_atom_site_fract_y
_atom_site_fract_z
F1 F 0.500 0.500 0.000
Ac1 Ac 0.000 0.000 0.761
Sn1 Sn 0.500 0.500 0.500
Ac2 Ac 0.000 0.000 0.239
```

Summary:
- V (Å³/f.u.) = 115.78
- distance to the lowest polymorph of the same formula (eV per atom) = 0.3049
- formation energy without anion corrections (eV/atom) = -1.217

=====

(9)
## CsTmZnSe3 (PBE)

Data for a geometry-optimized CsTmZnSe3 structure.

The structure in CIF format:
```
data_CsTmZnSe3
_space_group_name_H-M_alt 'P 1'
_space_group_IT_number 1
_space_group_name_Hall 'P 1'
_cell_length_a 4.144
_cell_length_b 8.400
_cell_length_c 10.912
_cell_angle_alpha 90.00
_cell_angle_beta 90.00
_cell_angle_gamma 104.28
loop_
_atom_site_label
_atom_site_type_symbol
_atom_site_fract_x
_atom_site_fract_y
_atom_site_fract_z
Se1 Se 0.614 0.229 0.057
Se2 Se 0.944 0.889 0.250
Se3 Se 0.386 0.771 0.557
Tm1 Tm 0.000 0.000 0.500
Zn1 Zn 0.463 0.926 0.750
Se4 Se 0.614 0.229 0.443
Tm2 Tm 0.000 0.000 0.000
Se5 Se 0.386 0.771 0.943
Zn2 Zn 0.537 0.074 0.250
Cs1 Cs 0.745 0.489 0.750
Cs2 Cs 0.255 0.511 0.250
Se6 Se 0.056 0.111 0.750
```

Summary:
- V (Å³/f.u.) = 184.06
- formation energy without anion corrections (eV/atom) = -1.420